1.
Entry from Alexandria: an optimized crystal structure of AcPmI2 (PBE-GGA).

Results
**Uncorrected energy**: -3.87 eV/atom
**E_form (uncorrected)**: -338 kJ/mol of formula units
**M_tot**: 0.0 μB/f.u.

Lattice parameters (Å, degrees): 3.9763 3.9763 30.5338 90.00 90.00 120.00
Last column: nearest neighbours and their distance in Å.
Space group R3m (No. 160, hexagonal axes)
Symmetry-distinct sites (fractional):
Ac: 0.0000 0.0000 0.0000 x3  6 I 3.51-3.62
Pm: 0.0000 0.0000 0.1635 x3  6 I 3.27-3.31
I: 0.0000 0.0000 0.5749 x3  3 Pm 3.31, 3 Ac 3.62
I: 0.0000 0.0000 0.7538 x3  3 Pm 3.27, 3 Ac 3.51

***

2.
Entry from Alexandria: an optimized crystal structure of AcPm2I8 (PBE-GGA).

Results
**Uncorrected energy**: -3.63 eV/atom
**E_form (uncorrected)**: -1341 kJ/mol of formula units
**M_tot**: 1.0 μB/f.u.

Lattice parameters (Å, degrees): 19.6769 8.9895 7.6860 90.00 95.75 90.00
Last column: nearest neighbours and their distance in Å.
Space group C2/m (No. 12)
Symmetry-distinct sites (fractional):
Ac: 0.0000 0.0000 0.0000 x2  6 I 3.31-3.33
Pm: 0.1472 0.0000 0.4242 x4  4 I 2.91-3.05
I: 0.0643 0.2609 0.2725 x8  1 Pm 3.02, 1 Ac 3.31
I: 0.1473 0.0000 0.8206 x4  1 Pm 3.05, 1 Ac 3.33
I: 0.2121 0.5000 0.6621 x4  1 Pm 2.91

***

3.
Entry from Alexandria: an optimized crystal structure of AcPm2I (PBE-GGA).

Results
**Uncorrected energy**: -4.21 eV/atom
**E_form (uncorrected)**: -161 kJ/mol of formula units
**M_tot**: 0.0 μB/f.u.

Lattice parameters (Å, degrees): 3.8970 3.8970 32.6821 90.00 90.00 120.00
Last column: nearest neighbours and their distance in Å.
Space group R-3m (No. 166, hexagonal axes)
Symmetry-distinct sites (fractional):
Ac: 0.0000 0.0000 0.0000 x3  6 Pm 3.72, 6 Ac 3.90
Pm: 0.0000 0.0000 0.2426 x6  3 I 3.35, 3 Ac 3.72
I: 0.0000 0.0000 0.5000 x3  6 Pm 3.35

***

4.
Entry from Alexandria: an optimized crystal structure of AcPmI (PBE-GGA).

Results
**Uncorrected energy**: -3.96 eV/atom
**E_form (uncorrected)**: -141 kJ/mol of formula units
**M_tot**: 0.0 μB/f.u.

Lattice parameters (Å, degrees): 3.8813 3.8813 14.9258 90.00 90.00 90.00
Last column: nearest neighbours and their distance in Å.
Space group I4mm (No. 107)
Symmetry-distinct sites (fractional):
Ac: 0.0000 0.0000 0.0000 x2  4 Pm 3.81, 4 I 3.82, 4 Ac 3.88
Pm: 0.0000 0.0000 0.6775 x2  4 I 3.49, 4 Ac 3.81, 4 Pm 3.88
I: 0.0000 0.0000 0.3220 x2  4 Pm 3.49, 4 Ac 3.82, 4 I 3.88

***

5.
Entry from Alexandria: an optimized crystal structure of Ac2PmI (PBE-GGA).

Results
**Uncorrected energy**: -4.02 eV/atom
**E_form (uncorrected)**: -151 kJ/mol of formula units
**M_tot**: 0.0 μB/f.u.

Lattice parameters (Å, degrees): 3.9232 3.9232 10.3583 90.00 90.00 90.00
Last column: nearest neighbours and their distance in Å.
Space group P4/mmm (No. 123)
Symmetry-distinct sites (fractional):
Ac: 0.0000 0.0000 0.2458 x2  4 I 3.77, 4 Pm 3.82, 4 Ac 3.92
Pm: 0.5000 0.5000 0.5000 x1  8 Ac 3.82, 4 Pm 3.92
I: 0.5000 0.5000 0.0000 x1  8 Ac 3.77, 4 I 3.92

***

6.
Entry from Alexandria: an optimized crystal structure of AcPmI2 (PBE-GGA).

Results
**Uncorrected energy**: -3.84 eV/atom
**E_form (uncorrected)**: -327 kJ/mol of formula units
**M_tot**: 0.0 μB/f.u.

Lattice parameters (Å, degrees): 3.9647 3.9647 30.6807 90.00 90.00 120.00
Last column: nearest neighbours and their distance in Å.
Space group R-3m (No. 166, hexagonal axes)
Symmetry-distinct sites (fractional):
Ac: 0.0000 0.0000 0.0000 x3  6 I 3.55, 6 Ac 3.96
Pm: 0.0000 0.0000 0.5000 x3  6 I 3.31
I: 0.0000 0.0000 0.2447 x6  3 Pm 3.31, 3 Ac 3.55

***

7.
Entry from Alexandria: an optimized crystal structure of Ac2PmI (PBE-GGA).

Results
**Uncorrected energy**: -4.04 eV/atom
**E_form (uncorrected)**: -158 kJ/mol of formula units
**M_tot**: 0.0 μB/f.u.

Lattice parameters (Å, degrees): 4.0129 4.0129 34.7151 90.00 90.00 120.00
Last column: nearest neighbours and their distance in Å.
Space group R-3m (No. 166, hexagonal axes)
Symmetry-distinct sites (fractional):
Ac: 0.0000 0.0000 0.2460 x6  3 I 3.60, 3 Pm 3.81, 6 Ac 4.01
Pm: 0.0000 0.0000 0.0000 x3  6 Ac 3.81, 6 Pm 4.01
I: 0.0000 0.0000 0.5000 x3  6 Ac 3.60, 6 I 4.01

***

8.
Entry from Alexandria: an optimized crystal structure of AcPm2I (PBE-GGA).

Results
**Uncorrected energy**: -4.16 eV/atom
**E_form (uncorrected)**: -141 kJ/mol of formula units
**M_tot**: 0.0 μB/f.u.

Lattice parameters (Å, degrees): 3.8947 3.8947 32.9819 90.00 90.00 120.00
Last column: nearest neighbours and their distance in Å.
Space group R3m (No. 160, hexagonal axes)
Symmetry-distinct sites (fractional):
Ac: 0.0000 0.0000 0.0000 x3  6 Pm 3.77-3.78, 6 Ac 3.89
Pm: 0.0000 0.0000 0.5749 x3  3 I 3.34
Pm: 0.0000 0.0000 0.7587 x3  3 I 3.34
I: 0.0000 0.0000 0.1668 x3  6 Pm 3.34

***

9.
Entry from Alexandria: an optimized crystal structure of AcPmI6 (PBE-GGA).

Results
**Uncorrected energy**: -3.69 eV/atom
**E_form (uncorrected)**: -1099 kJ/mol of formula units
**M_tot**: 0.0 μB/f.u.

Lattice parameters (Å, degrees): 7.9143 7.9143 21.6977 90.00 90.00 120.00
Last column: nearest neighbours and their distance in Å.
Space group R-3 (No. 148, hexagonal axes)
Symmetry-distinct sites (fractional):
Ac: 0.0000 0.0000 0.0000 x3  6 I 3.28
Pm: 0.0000 0.0000 0.5000 x3  6 I 3.12
I: 0.0051 0.3452 0.0853 x18  1 Pm 3.12, 1 Ac 3.28

***

10.
Entry from Alexandria: an optimized crystal structure of AcPm2I (PBE-GGA).

Results
**Uncorrected energy**: -4.11 eV/atom
**E_form (uncorrected)**: -123 kJ/mol of formula units
**M_tot**: 0.0 μB/f.u.

Lattice parameters (Å, degrees): 3.8021 3.8021 9.8030 90.00 90.00 90.00
Last column: nearest neighbours and their distance in Å.
Space group P4/mmm (No. 123)
Symmetry-distinct sites (fractional):
Ac: 0.0000 0.0000 0.0000 x1  8 Pm 3.75, 4 Ac 3.80
Pm: 0.5000 0.5000 0.2665 x2  4 I 3.53, 4 Ac 3.75, 4 Pm 3.80
I: 0.0000 0.0000 0.5000 x1  8 Pm 3.53, 4 I 3.80

***

11.
Entry from Alexandria: an optimized crystal structure of Ac2PmPt2I2 (PBE-GGA).

Results
**Uncorrected energy**: -5.07 eV/atom
**E_form (uncorrected)**: -705 kJ/mol of formula units
**M_tot**: 0.0 μB/f.u.

Lattice parameters (Å, degrees): 5.3784 5.3784 17.4751 90.00 90.00 90.00
Last column: nearest neighbours and their distance in Å.
Space group I4/mmm (No. 139)
Symmetry-distinct sites (fractional):
Ac: 0.0000 0.0000 0.1080 x4  4 Pt 3.29, 1 I 3.47
Pm: 0.0000 0.0000 0.5000 x2  4 Pt 2.69
Pt: 0.0000 0.5000 0.0000 x4  2 Pm 2.69
I: 0.0000 0.0000 0.3065 x4  1 Pm 3.38, 1 Ac 3.47

***

12.
Entry from Alexandria: an optimized crystal structure of AcPmPtI (PBE-GGA).

Results
**Uncorrected energy**: -5.27 eV/atom
**E_form (uncorrected)**: -447 kJ/mol of formula units
**M_tot**: 0.0 μB/f.u.

Lattice parameters (Å, degrees): 4.3537 4.3537 25.1351 90.00 90.00 120.00
Last column: nearest neighbours and their distance in Å.
Space group R3m (No. 160, hexagonal axes)
Symmetry-distinct sites (fractional):
Ac: 0.0000 0.0000 0.0000 x3  3 Pt 3.01
Pm: 0.0000 0.0000 0.2097 x3  3 Pt 2.90
Pt: 0.0000 0.0000 0.6006 x3  3 Pm 2.90, 3 Ac 3.01
I: 0.0000 0.0000 0.7778 x3  3 Pm 3.53, 3 Ac 3.76

***

13.
Entry from Alexandria: an optimized crystal structure of Ac2PmRh2I2 (PBE-GGA).

Results
**Uncorrected energy**: -5.20 eV/atom
**E_form (uncorrected)**: -543 kJ/mol of formula units
**M_tot**: 0.0 μB/f.u.

Lattice parameters (Å, degrees): 5.2323 5.2323 17.5872 90.00 90.00 90.00
Last column: nearest neighbours and their distance in Å.
Space group I4/mmm (No. 139)
Symmetry-distinct sites (fractional):
Ac: 0.0000 0.0000 0.1071 x4  4 Rh 3.22, 1 I 3.54
Pm: 0.0000 0.0000 0.5000 x2  4 Rh 2.62
Rh: 0.0000 0.5000 0.0000 x4  2 Pm 2.62
I: 0.0000 0.0000 0.3084 x4  1 Pm 3.37, 1 Ac 3.54

***

14.
Entry from Alexandria: an optimized crystal structure of AcPmSbI (PBE-GGA).

Results
**Uncorrected energy**: -4.62 eV/atom
**E_form (uncorrected)**: -379 kJ/mol of formula units
**M_tot**: 0.0 μB/f.u.

Lattice parameters (Å, degrees): 7.9822 7.9822 7.9822 90.00 90.00 90.00
Last column: nearest neighbours and their distance in Å.
Space group F-43m (No. 216)
Symmetry-distinct sites (fractional):
Ac: 0.0000 0.0000 0.0000 x4  4 Sb 3.46, 4 I 3.46
Pm: 0.0000 0.0000 0.5000 x4  4 Sb 3.46, 4 I 3.46
Sb: 0.2500 0.2500 0.7500 x4  4 Ac 3.46, 4 Pm 3.46
I: 0.2500 0.2500 0.2500 x4  4 Ac 3.46, 4 Pm 3.46